An optimized crystal structure of BaSrGe2Pd4, computed with PBE-GGA.

Unit cell a=4.4322 b=4.4322 c=10.9112 alpha=90.00 beta=90.00 gamma=120.00
Atoms (fractional coordinates):
1 Ba 0.0000 0.0000 0.0000
2 Sr 0.6667 0.3333 0.5000
3 Ge 0.3333 0.6667 0.2588
4 Ge 0.3333 0.6667 0.7412
5 Pd 0.0000 0.0000 0.3071
6 Pd 0.0000 0.0000 0.6929
7 Pd 0.6667 0.3333 0.2116
8 Pd 0.6667 0.3333 0.7884

Output
- Symmetry: P-6m2, No. 187

---

An optimized crystal structure of BaPmGe, computed with PBE-GGA.

Unit cell a=5.3432 b=5.3432 c=5.3432 alpha=60.00 beta=60.00 gamma=60.00
Atoms (fractional coordinates):
1 Ba 0.0000 0.0000 0.0000
2 Pm 0.5000 0.5000 0.5000
3 Ge 0.2500 0.2500 0.2500

Output
- Symmetry: F-43m, No. 216

---

An optimized crystal structure of BaPrGe3, computed with PBE-GGA.

Unit cell a=6.4773 b=6.4773 c=6.4773 alpha=132.56 beta=132.56 gamma=69.34
Atoms (fractional coordinates):
1 Ba 0.0000 0.0000 0.0000
2 Pr 0.6396 0.6396 0.0000
3 Ge 0.2828 0.7828 0.5000
4 Ge 0.3538 0.3538 0.0000
5 Ge 0.7828 0.2828 0.5000

Output
- Symmetry: I4mm, No. 107

---

An optimized crystal structure of BaPrGe, computed with PBE-GGA.

Unit cell a=5.3823 b=5.3823 c=5.3823 alpha=60.00 beta=60.00 gamma=60.00
Atoms (fractional coordinates):
1 Ba 0.0000 0.0000 0.0000
2 Pr 0.5000 0.5000 0.5000
3 Ge 0.2500 0.2500 0.2500

Output
- Symmetry: F-43m, No. 216

---

An optimized crystal structure of BaPrGe2, computed with PBE-GGA.

Unit cell a=3.5345 b=6.8668 c=6.8668 alpha=54.88 beta=90.00 gamma=90.00
Atoms (fractional coordinates):
1 Ba 0.0000 0.0000 0.0000
2 Pr 0.0000 0.7013 0.7013
3 Ge 0.0000 0.2635 0.2635
4 Ge 0.0000 0.4644 0.4644

Output
- Symmetry: Amm2, No. 38

---

An optimized crystal structure of Ba2Ge2Pt3, computed with PBE-GGA.

Unit cell a=11.3286 b=11.3286 c=11.3286 alpha=22.33 beta=22.33 gamma=22.33
Atoms (fractional coordinates):
1 Ba 0.0000 0.0000 0.0000
2 Ba 0.4968 0.4968 0.4968
3 Ge 0.2474 0.2474 0.2474
4 Ge 0.7443 0.7443 0.7443
5 Pt 0.4020 0.4020 0.4020
6 Pt 0.5973 0.5973 0.5973
7 Pt 0.8958 0.8958 0.8958

Output
- Symmetry: R3m, No. 160

---

An optimized crystal structure of BaGePt2, computed with PBE-GGA.

Unit cell a=7.5174 b=4.4915 c=11.1670 alpha=90.00 beta=90.00 gamma=90.00
Atoms (fractional coordinates):
1 Ba 0.1425 0.2500 0.1244
2 Ba 0.3575 0.7500 0.6244
3 Ba 0.6425 0.2500 0.3756
4 Ba 0.8575 0.7500 0.8756
5 Ge 0.0190 0.7500 0.3815
6 Ge 0.4810 0.2500 0.8815
7 Ge 0.5190 0.7500 0.1185
8 Ge 0.9810 0.2500 0.6185
9 Pt 0.1608 0.2500 0.4249
10 Pt 0.1677 0.2500 0.8022
11 Pt 0.3323 0.7500 0.3022
12 Pt 0.3392 0.7500 0.9249
13 Pt 0.6608 0.2500 0.0751
14 Pt 0.6677 0.2500 0.6978
15 Pt 0.8323 0.7500 0.1978
16 Pt 0.8392 0.7500 0.5751

Output
- Symmetry: Pnma, No. 62

---

An optimized crystal structure of Ba2Ge2Pt, computed with PBE-GGA.

Unit cell a=6.5263 b=6.5263 c=11.4417 alpha=115.50 beta=115.50 gamma=41.48
Atoms (fractional coordinates):
1 Ba 0.0067 0.0067 0.1638
2 Ba 0.1912 0.1912 0.6075
3 Ba 0.8088 0.8088 0.3925
4 Ba 0.9933 0.9933 0.8362
5 Ge 0.2984 0.2984 0.9357
6 Ge 0.4986 0.4986 0.6157
7 Ge 0.5014 0.5014 0.3843
8 Ge 0.7016 0.7016 0.0643
9 Pt 0.2968 0.2968 0.1626
10 Pt 0.7032 0.7032 0.8374

Output
- Symmetry: C2/m, No. 12

---

An optimized crystal structure of BaSi2GePt, computed with PBE-GGA.

Unit cell a=6.0612 b=6.0612 c=6.0612 alpha=136.51 beta=136.51 gamma=63.19
Atoms (fractional coordinates):
1 Ba 0.0000 0.0000 0.0000
2 Si 0.2466 0.7466 0.5000
3 Si 0.7466 0.2466 0.5000
4 Ge 0.6053 0.6053 0.0000
5 Pt 0.3446 0.3446 0.0000

Output
- Symmetry: I4mm, No. 107

---

An optimized crystal structure of Ba2SiGePt2, computed with PBE-GGA.

Unit cell a=4.2972 b=4.2972 c=9.6230 alpha=90.00 beta=90.00 gamma=90.00
Atoms (fractional coordinates):
1 Ba 0.0000 0.0000 0.0000
2 Ba 0.5000 0.5000 0.4075
3 Si 0.5000 0.5000 0.8330
4 Ge 0.0000 0.0000 0.5649
5 Pt 0.0000 0.5000 0.7099
6 Pt 0.5000 0.0000 0.7099

Output
- Symmetry: P4mm, No. 99

---

An optimized crystal structure of BaSnGe2Pt, computed with PBE-GGA.

Unit cell a=6.2938 b=6.2938 c=6.2938 alpha=135.57 beta=135.57 gamma=64.65
Atoms (fractional coordinates):
1 Ba 0.0000 0.0000 0.0000
2 Sn 0.6025 0.6025 0.0000
3 Ge 0.2546 0.7546 0.5000
4 Ge 0.7546 0.2546 0.5000
5 Pt 0.3464 0.3464 0.0000

Output
- Symmetry: I4mm, No. 107

---

An optimized crystal structure of BaReGe, computed with PBE-GGA.

Unit cell a=4.7372 b=4.7372 c=4.7372 alpha=60.00 beta=60.00 gamma=60.00
Atoms (fractional coordinates):
1 Ba 0.0000 0.0000 0.0000
2 Re 0.2500 0.2500 0.2500
3 Ge 0.5000 0.5000 0.5000

Output
- Symmetry: F-43m, No. 216

---

Computed values of energy (unit: eV per atom) for the preceding records, in sequence: -4.851, -4.066, -4.383, -4.098, -3.885, -5.121, -5.429, -4.486, -5.304, -5.042, -4.876, -5.269.